A plane-wave DFT calculation with PBE was carried out for crystalline La2SiF at its relaxed geometry.

Cell lengths 4.0860, 4.0860, 7.4781 Å; angles 74.15, 74.15, 60.00 degrees
Closest atoms and distances in Å follow each position.
Positions (direct):
La1 0.0839 0.0839 0.7482  3 F 2.83, 3 Si 2.93
La2 0.2557 0.2557 0.2328  3 Si 2.91, 3 F 3.15
Si1 0.6692 0.6692 0.9923  6 La 2.91-2.93
F1 0.4911 0.4911 0.5267  6 La 2.83-3.15

Output
Energy relative to the elements, uncorrected ... -1.502 eV per atom
Space group ... R3m, No. 160
Energy relative to the lowest polymorph listed for this composition ... 50 kJ/mol of formula units
N(E_F) ... 0.61 states/eV/atom
V ... 25.7 Å³ per atom
VASP energy ... -5.790 eV/atom

=====

A plane-wave DFT calculation with PBE was carried out for crystalline LaSi2F at its relaxed geometry.

Cell lengths 4.8802, 4.8802, 4.8802 Å; angles 60.00, 60.00, 60.00 degrees
Closest atoms and distances in Å follow each position.
Positions (direct):
Si1 0.2500 0.2500 0.2500  4 F 2.99, 4 La 2.99
Si2 0.7500 0.7500 0.7500  4 F 2.99, 4 La 2.99
F1 0.0000 0.0000 0.0000  8 Si 2.99
La1 0.5000 0.5000 0.5000  8 Si 2.99

Output
Energy relative to the elements, uncorrected ... -0.263 eV per atom
Space group ... Fm-3m, No. 225
Energy relative to the lowest polymorph listed for this composition ... 369 kJ/mol of formula units
N(E_F) ... 0.10 states/eV/atom
V ... 20.5 Å³ per atom
VASP energy ... -4.674 eV/atom

=====

A plane-wave DFT calculation with PBE was carried out for crystalline LaSiF at its relaxed geometry.

Cell lengths 4.1087, 3.9678, 7.4348 Å; angles 90.00, 106.04, 90.00 degrees
Closest atoms and distances in Å follow each position.
Positions (direct):
La1 0.2514 0.1155 0.9655  4 F 2.58-2.61
La2 0.9787 0.6155 0.4202  4 F 2.58-2.61
Si1 0.6600 0.6155 0.7828  2 Si 2.36
Si2 0.5700 0.1155 0.6028  2 Si 2.36
F1 0.3696 0.6155 0.2018  4 La 2.58-2.61, 4 F 2.86
F2 0.8606 0.1155 0.1838  4 La 2.58-2.61, 4 F 2.86

Output
Energy relative to the elements, uncorrected ... -2.250 eV per atom
Space group ... Cmcm, No. 63
Energy relative to the lowest polymorph listed for this composition ... 0 kJ/mol of formula units
N(E_F) ... 0.23 states/eV/atom
V ... 19.4 Å³ per atom
VASP energy ... -6.324 eV/atom

=====

A plane-wave DFT calculation with PBE was carried out for crystalline LaSiF at its relaxed geometry.

Cell lengths 6.4618, 4.5689, 7.0059 Å; angles 89.95, 90.00, 135.00 degrees
Closest atoms and distances in Å follow each position.
Positions (direct):
La1 0.7502 0.5004 0.3369  1 F 2.46
La2 0.2498 0.4996 0.6631  1 F 2.46
Si1 0.2503 0.5007 0.2682  1 F 1.78
Si2 0.7497 0.4993 0.7318  1 F 1.78
F1 0.2507 0.5014 0.0142  1 Si 1.78
F2 0.7493 0.4986 0.9858  1 Si 1.78

Output
Energy relative to the elements, uncorrected ... -1.473 eV per atom
Space group ... C2/m, No. 12
Energy relative to the lowest polymorph listed for this composition ... 225 kJ/mol of formula units
N(E_F) ... 0.09 states/eV/atom
V ... 24.4 Å³ per atom
VASP energy ... -5.547 eV/atom

=====

A plane-wave DFT calculation with PBE was carried out for crystalline LaSiF2 at its relaxed geometry.

Cell lengths 8.0614, 8.0614, 8.0614 Å; angles 23.48, 23.48, 23.48 degrees
Closest atoms and distances in Å follow each position.
Positions (direct):
Si1 0.0000 0.0000 0.0000  2 F 2.17
F1 0.9078 0.9078 0.9078  1 Si 2.17
F2 0.0922 0.0922 0.0922  1 Si 2.17
La1 0.5000 0.5000 0.5000  6 F 2.58

Output
Energy relative to the elements, uncorrected ... -1.813 eV per atom
Space group ... R-3m, No. 166
Energy relative to the lowest polymorph listed for this composition ... 124 kJ/mol of formula units
N(E_F) ... 0.64 states/eV/atom
V ... 18.3 Å³ per atom
VASP energy ... -5.337 eV/atom

=====

A plane-wave DFT calculation with PBE was carried out for crystalline La2SiF at its relaxed geometry.

Cell lengths 4.2392, 4.2392, 6.6961 Å; angles 71.55, 71.55, 60.00 degrees
Closest atoms and distances in Å follow each position.
Positions (direct):
Si1 0.0000 0.0000 0.0000  6 La 2.96
F1 0.5000 0.5000 0.5000  6 La 2.85
La1 0.2443 0.2443 0.2670  3 F 2.85, 3 Si 2.96
La2 0.7557 0.7557 0.7330  3 F 2.85, 3 Si 2.96

Output
Energy relative to the elements, uncorrected ... -1.632 eV per atom
Space group ... R-3m, No. 166
Energy relative to the lowest polymorph listed for this composition ... 0 kJ/mol of formula units
N(E_F) ... 0.51 states/eV/atom
V ... 24.3 Å³ per atom
VASP energy ... -5.919 eV/atom